Compound: CoAg2CF
Source: Alexandria
Functional: PBEsol
Structure: relaxed

Calculated values
Uncorrected energy = -4.391 eV/atom
Raw formation energy = 0.7951 eV per atom

Cell lengths 4.820, 4.820, 3.413 Å; angles 90.00, 90.00, 90.00 degrees
Fractional coordinates of all 5 atoms:
1 Co 0.000 0.000 0.000
2 Ag 0.000 0.500 0.000
3 Ag 0.500 0.000 0.000
4 C 0.000 0.000 0.500
5 F 0.500 0.500 0.500